Computed, not measured: a geometry-optimized Tm2ZnCo5B2 structure at the GGA-PBE level of DFT.

Calculated values
Spin magnetization: 0.00 μB/cell
E_tot: -6.281 eV/atom
Energy of formation: -0.37 eV/atom
DOS at the Fermi energy: 0.789 states/eV/atom

Lattice parameters (Å, degrees): 8.9627 8.9627 3.0253 90.00 90.00 90.00
Last column: nearest neighbours and their distance in Å.
Space group P4/mbm (No. 127)
Symmetry-distinct sites (fractional):
Tm (0.1773, 0.3227, 0.0000)  3 B 2.58-2.71, 10 Co 2.71-2.80
Zn (0.0000, 0.0000, 0.0000)  8 Co 2.61
Co (0.0000, 0.5000, 0.5000)  4 B 2.14
Co (0.0682, 0.7725, 0.5000)  2 B 2.09
B (0.1192, 0.6192, 0.0000)  6 Co 2.09-2.14

Computed, not measured: a geometry-optimized UCo6B3 structure at the GGA-PBE level of DFT.

Calculated values
Spin magnetization: 0.00 μB/cell
E_tot: -7.620 eV/atom
Energy of formation: -0.22 eV/atom
DOS at the Fermi energy: 0.933 states/eV/atom

Lattice parameters (Å, degrees): 4.9155 4.9155 14.9841 90.00 90.00 120.00
Last column: nearest neighbours and their distance in Å.
Space group R3 (No. 146, hexagonal axes)
Symmetry-distinct sites (fractional):
U (0.0000, 0.0000, 0.0000)  1 B 2.48, 6 Co 2.59-2.74
Co (0.0010, 0.4284, 0.1231)  3 B 2.01-2.20
Co (0.1503, 0.8163, 0.2647)  3 B 2.06
B (0.0000, 0.0000, 0.1658)  6 Co 2.06-2.20
B (0.0000, 0.0000, 0.3641)  6 Co 2.01-2.06
B (0.0000, 0.0000, 0.6974)  6 Co 2.02-2.06

Computed, not measured: a geometry-optimized UCoB2 structure at the GGA-PBE level of DFT.

Calculated values
Spin magnetization: 0.01 μB/cell
ΔE to the lowest computed polymorph: 0.000 eV/atom
E_tot: -8.159 eV/atom
Energy of formation: -0.22 eV/atom
DOS at the Fermi energy: 1.372 states/eV/atom

Lattice parameters (Å, degrees): 3.4360 3.4360 13.4743 90.00 90.00 120.00
Last column: nearest neighbours and their distance in Å.
Space group R-3m (No. 166, hexagonal axes)
Symmetry-distinct sites (fractional):
U (0.0000, 0.0000, 0.0000)  8 B 2.66-2.72
Co (0.0000, 0.0000, 0.5000)  6 B 2.04
B (0.0000, 0.0000, 0.2022)  3 Co 2.04, 3 B 2.20

Computed, not measured: a geometry-optimized UCo4B2 structure at the GGA-PBE level of DFT.

Calculated values
Spin magnetization: 0.00 μB/cell
E_tot: -7.894 eV/atom
Energy of formation: -0.31 eV/atom
DOS at the Fermi energy: 0.797 states/eV/atom

Lattice parameters (Å, degrees): 3.5480 11.7552 3.6172 90.00 90.00 90.00
Last column: nearest neighbours and their distance in Å.
Space group Cmmm (No. 65)
Symmetry-distinct sites (fractional):
U (0.0000, 0.0000, 0.0000)  8 Co 2.68-2.74, 8 B 2.71
Co (0.0000, 0.1754, 0.5000)  2 B 2.08
Co (0.0000, 0.3295, 0.0000)  2 B 2.08
B (0.0000, 0.4176, 0.5000)  1 B 1.94, 4 Co 2.08

Computed, not measured: a geometry-optimized UCo3B3 structure at the GGA-PBE level of DFT.

Calculated values
Spin magnetization: 4.34 μB/cell
ΔE to the lowest computed polymorph: 0.104 eV/atom
E_tot: -7.507 eV/atom
Energy of formation: 0.01 eV/atom
DOS at the Fermi energy: 0.938 states/eV/atom

Lattice parameters (Å, degrees): 5.4792 5.4792 5.4792 90.00 90.00 90.00
Last column: nearest neighbours and their distance in Å.
Space group Pm-3n (No. 223)
Symmetry-distinct sites (fractional):
U (0.0000, 0.0000, 0.0000)  12 Co 3.06, 12 B 3.06
Co (0.0000, 0.2500, 0.5000)  4 B 1.94
B (0.0000, 0.5000, 0.2500)  4 Co 1.94

Computed, not measured: a geometry-optimized UCo2B2 structure at the GGA-PBE level of DFT.

Calculated values
Spin magnetization: 0.00 μB/cell
E_tot: -8.141 eV/atom
Energy of formation: -0.37 eV/atom
DOS at the Fermi energy: 1.051 states/eV/atom

Lattice parameters (Å, degrees): 3.2819 9.9308 6.7747 90.00 90.00 90.00
Last column: nearest neighbours and their distance in Å.
Space group Cmc2_1 (No. 36)
Symmetry-distinct sites (fractional):
U (0.0000, 0.0811, 0.0000)  7 B 2.66-2.69, 8 Co 2.69-2.95
Co (0.0000, 0.2016, 0.6116)  5 B 2.08-2.15
Co (0.0000, 0.3888, 0.8589)  4 B 2.19-2.27
B (0.0000, 0.2536, 0.3070)  1 B 1.78
B (0.0000, 0.4146, 0.1911)  1 B 1.78